An optimized crystal structure of Pr3AgPd4. Source: Alexandria, functional PBE-GGA.

It has space group Immm (No. 71), with a = 4.017 Å, b = 6.739 Å, c = 14.656 Å, α = 90.00°, β = 90.00° and γ = 90.00°. The asymmetric unit holds Pr at (0.000, 0.000, 0.000), Pr at (0.000, 0.500, 0.184), Ag at (0.000, 0.000, 0.500) and Pd at (0.000, 0.301, 0.372).

The total moment is 0.00 μB/f.u. The calculation puts the calculated formation energy at -0.57 eV per atom.